# GGA+U TlVSbO4, optimized geometry
data_TlVSbO4
_chemical_formula_sum 'Tl2 V2 Sb2 O8'
_symmetry_space_group_name_H-M 'P 1 21/m 1'
_symmetry_Int_Tables_number 11
_symmetry_space_group_name_Hall '-P 2yb'
_cell_length_a 6.276
_cell_length_b 5.832
_cell_length_c 8.585
_cell_angle_alpha 90.00
_cell_angle_beta 97.32
_cell_angle_gamma 90.00
loop_
_atom_site_label
_atom_site_fract_x
_atom_site_fract_y
_atom_site_fract_z
_atom_site_occupancy
Tl1 0.223 0.250 0.011 1
V1 0.416 0.750 0.281 1
Sb1 0.261 0.750 0.669 1
O1 0.176 0.750 0.168 1
O2 0.413 0.004 0.789 1
O3 0.440 0.750 0.495 1
# Energy = -6.256 eV/atom
# N(E_F) = 0.00 states/eV/f.u.